A geometry-optimized ErTmPb structure. Source: Alexandria via LeMat-Bulk, functional PBE-GGA.

Output
Mass density in g/cm3: 10.24
SG: P3m1 (156)
Magnetization in μB per atom: 0.0003
Uncorrected energy in eV/atom: -4.4244
Energy of formation in meV per atom: -176.8

Cell: 3.670 5.265 5.265 Å, 120.00 90.00 90.00°
Fractional coordinates of all 3 atoms:
1 Pb 0.012 0.000 0.000
2 Tm 0.262 0.667 0.333
3 Er 0.726 0.333 0.667